Material: Pr3Tl3VSe8
Method: DFT, PBE
State: relaxed

a b c (Å): 8.3946 8.3951 9.1498
angles (deg): 117.31 90.00 120.00
Fractional coordinates of all 15 atoms:
Pr  0.0000  0.5000  0.5000
Pr  0.5000  0.5000  0.5000
Pr  0.5000  0.0000  0.5000
Se  0.2278  0.0157  0.3037
Se  0.7879  0.5758  0.3037
Se  0.2121  0.9843  0.6963
Se  0.2121  0.4242  0.6963
Se  0.7722  0.9843  0.6963
Se  0.7392  0.4785  0.7177
Se  0.2608  0.5215  0.2823
Se  0.7879  0.0157  0.3037
Tl  0.5000  0.5000  0.0000
Tl  0.0000  0.0000  0.0000
Tl  0.0000  0.5000  0.0000
V  0.0000  0.0000  0.5000

* SG: R-3m, No. 166
* total energy: -0.3708 Ry per atom